[1]
{"formula": "Tb3MnIr8", "functional": "PBE", "state": "optimized geometry", "lattice": [[-3.504, -3.713, -1.525], [-0.876, -4.261, 3.078], [-7.792, 1.624, 4.644]], "species": ["Ir", "Ir", "Ir", "Ir", "Ir", "Ir", "Ir", "Ir", "Mn", "Tb", "Tb", "Tb"], "fractional_positions": [[0.061, 0.560, 0.317], [0.312, 0.312, 0.065], [0.063, 0.563, 0.812], [0.061, 0.061, 0.317], [0.811, 0.811, 0.566], [0.563, 0.563, 0.812], [0.560, 0.061, 0.317], [0.563, 0.063, 0.812], [0.130, 0.130, 0.610], [0.005, 0.005, 0.984], [0.624, 0.624, 0.128], [0.496, 0.496, 0.511]], "spacegroup": "R3m, No. 160", "total_energy_ev_per_atom": -8.40, "magmom_total_mub_per_fu": 4.56, "e_form_mev_per_atom": -570.2, "dos_ef_per_ev_fu": 12.48}

[2]
{"formula": "CaYMgZn2", "functional": "PBE", "state": "optimized geometry", "lattice": [[5.350, 0.000, 0.000], [0.000, 5.924, 0.000], [0.000, 0.000, 5.350]], "species": ["Y", "Mg", "Zn", "Zn", "Ca"], "fractional_positions": [[0.000, 0.500, 0.000], [0.500, 0.500, 0.500], [0.500, 0.000, 0.000], [0.000, 0.000, 0.500], [0.000, 0.000, 0.000]], "spacegroup": "P4/mmm, No. 123", "total_energy_ev_per_atom": -1.64, "magmom_total_mub_per_fu": 0.00, "e_form_mev_per_atom": 880.6, "dos_ef_per_ev_fu": 4.81}

[3]
{"formula": "Pr3TeAuBr", "functional": "PBE", "state": "optimized geometry", "lattice": [[-2.930, -1.871, 2.145], [5.394, -4.050, 3.833], [-1.346, 9.844, 6.747]], "species": ["Te", "Te", "Au", "Au", "Pr", "Pr", "Pr", "Pr", "Pr", "Pr", "Br", "Br"], "fractional_positions": [[0.250, 0.338, 0.305], [0.750, 0.662, 0.695], [0.750, 0.245, 0.951], [0.250, 0.755, 0.049], [0.750, 0.548, 0.165], [0.750, 0.296, 0.501], [0.250, 0.704, 0.499], [0.250, 0.452, 0.835], [0.750, 0.043, 0.146], [0.250, 0.957, 0.854], [0.250, 0.114, 0.631], [0.750, 0.886, 0.369]], "e_form_raw_ev_per_atom": -1.10, "spacegroup": "P2_1/m, No. 11", "total_energy_ev_per_atom": -4.84, "magmom_total_mub_per_fu": 0.00, "dos_ef_per_ev_fu": 4.91}

[4]
{"formula": "Sm2Al4ZnCu3", "functional": "PBE", "state": "optimized geometry", "lattice": [[4.222, 0.000, 0.000], [0.000, 4.222, 0.000], [0.000, 0.000, 10.211]], "species": ["Cu", "Cu", "Cu", "Zn", "Al", "Al", "Al", "Al", "Sm", "Sm"], "fractional_positions": [[0.000, 0.500, 0.128], [0.500, 0.000, 0.872], [0.000, 0.000, 0.500], [0.500, 0.500, 0.500], [0.500, 0.000, 0.636], [0.000, 0.500, 0.364], [0.500, 0.500, 0.000], [0.000, 0.000, 0.000], [0.000, 0.500, 0.749], [0.500, 0.000, 0.251]], "spacegroup": "P-4m2, No. 115", "total_energy_ev_per_atom": -4.21, "magmom_total_mub_per_fu": 0.00, "e_form_mev_per_atom": -416.0, "dos_ef_per_ev_fu": 5.27}

[5]
{"formula": "CsTlNiHg2", "functional": "PBE", "state": "optimized geometry", "lattice": [[-3.929, -3.642, 0.238], [1.289, -1.057, 5.097], [-3.300, 3.664, 1.595]], "species": ["Hg", "Hg", "Ni", "Cs", "Tl"], "fractional_positions": [[0.500, 0.000, 0.000], [0.000, 0.500, 0.000], [0.000, 0.000, 0.000], [0.500, 0.500, 0.500], [0.000, 0.000, 0.500]], "spacegroup": "P4/mmm, No. 123", "total_energy_ev_per_atom": -1.99, "magmom_total_mub_per_fu": 0.00, "e_form_mev_per_atom": -67.3, "dos_ef_per_ev_fu": 2.05}

[6]
{"formula": "Hf3POs", "functional": "PBE", "state": "optimized geometry", "lattice": [[4.702, 0.000, 0.000], [0.000, 4.702, 0.000], [0.000, 0.000, 4.702]], "species": ["Os", "Hf", "Hf", "Hf", "P"], "fractional_positions": [[0.500, 0.500, 0.500], [0.000, 0.000, 0.500], [0.000, 0.500, 0.000], [0.500, 0.000, 0.000], [0.000, 0.000, 0.000]], "relative_energy_kj_per_mol_fu": 0, "spacegroup": "Pm-3m, No. 221", "total_energy_ev_per_atom": -9.16, "magmom_total_mub_per_fu": 0.00, "e_form_mev_per_atom": 136.1, "dos_ef_per_ev_fu": 9.66}

[7]
{"formula": "NaSr3As", "functional": "PBE", "state": "optimized geometry", "lattice": [[-0.741, 4.969, 3.515], [1.726, -3.224, 4.921], [5.836, 1.584, -1.009]], "species": ["Sr", "Sr", "Sr", "Na", "As"], "fractional_positions": [[0.000, 0.000, 0.500], [0.000, 0.500, 0.000], [0.500, 0.000, 0.000], [0.500, 0.500, 0.500], [0.000, 0.000, 0.000]], "relative_energy_kj_per_mol_fu": 0, "spacegroup": "Pm-3m, No. 221", "total_energy_ev_per_atom": -2.70, "magmom_total_mub_per_fu": 0.01, "e_form_mev_per_atom": -497.1, "dos_ef_per_ev_fu": 5.24}

[8]
{"formula": "Ac2Al3Zn6", "functional": "PBE", "state": "optimized geometry", "lattice": [[4.333, 0.000, 0.000], [0.000, 7.965, 0.000], [0.000, -3.983, 6.898]], "species": ["Ac", "Ac", "Zn", "Zn", "Zn", "Zn", "Zn", "Zn", "Al", "Al", "Al"], "fractional_positions": [[0.000, 0.333, 0.667], [0.000, 0.667, 0.333], [0.500, 0.302, 0.000], [0.500, 0.000, 0.302], [0.000, 0.815, 0.000], [0.000, 0.185, 0.185], [0.000, 0.000, 0.815], [0.500, 0.698, 0.698], [0.500, 0.359, 0.359], [0.500, 0.641, 0.000], [0.500, 0.000, 0.641]], "relative_energy_kj_per_mol_fu": 0, "spacegroup": "P-62m, No. 189", "total_energy_ev_per_atom": -2.71, "magmom_total_mub_per_fu": 0.00, "e_form_mev_per_atom": -246.4, "dos_ef_per_ev_fu": 5.17}

[9]
{"formula": "K2ReBr", "functional": "PBE", "state": "optimized geometry", "lattice": [[9.210, 0.000, -0.002], [0.000, 3.792, 0.000], [-1.060, 0.000, 15.954]], "species": ["Br", "Br", "Br", "Br", "K", "K", "K", "K", "K", "K", "K", "K", "Re", "Re", "Re", "Re"], "fractional_positions": [[0.516, 0.000, 0.797], [0.033, 0.500, 0.276], [0.516, 0.500, 0.297], [0.033, 0.000, 0.776], [0.798, 0.500, 0.888], [0.798, 0.000, 0.388], [0.277, 0.500, 0.918], [0.272, 0.000, 0.189], [0.272, 0.500, 0.689], [0.277, 0.000, 0.418], [0.655, 0.500, 0.626], [0.655, 0.000, 0.126], [0.023, 0.000, 0.035], [0.957, 0.000, 0.610], [0.957, 0.500, 0.110], [0.023, 0.500, 0.535]], "e_form_raw_ev_per_atom": -0.09, "relative_energy_kj_per_mol_fu": 31, "spacegroup": "Cm, No. 8", "total_energy_ev_per_atom": -4.17, "magmom_total_mub_per_fu": 0.00, "dos_ef_per_ev_fu": 1.57}

[10]
{"formula": "RbUCu2S4", "functional": "PBE", "state": "optimized geometry", "lattice": [[-3.660, 0.749, 5.148], [-4.510, -4.726, 1.434], [1.867, -2.945, 5.709]], "species": ["Rb", "Cu", "Cu", "S", "S", "S", "S", "U"], "fractional_positions": [[0.000, 0.000, 0.000], [0.855, 0.645, 0.644], [0.145, 0.356, 0.355], [0.087, 0.847, 0.505], [0.561, 0.505, 0.847], [0.439, 0.153, 0.495], [0.913, 0.495, 0.153], [0.500, 0.499, 0.501]], "e_form_raw_ev_per_atom": -0.70, "spacegroup": "C2, No. 5", "total_energy_ev_per_atom": -5.32, "magmom_total_mub_per_fu": 1.00, "dos_ef_per_ev_fu": 6.24}

[11]
{"formula": "CoAg2W", "functional": "PBE", "state": "optimized geometry", "lattice": [[5.108, 0.011, 0.000], [2.374, 4.523, 0.000], [-3.741, -2.267, 2.638]], "species": ["Ag", "Ag", "Co", "W"], "fractional_positions": [[0.500, 0.500, 0.000], [0.000, 0.000, 0.000], [0.250, 0.750, 0.500], [0.750, 0.250, 0.500]], "relative_energy_kj_per_mol_fu": 161, "spacegroup": "I4/mmm, No. 139", "total_energy_ev_per_atom": -5.70, "magmom_total_mub_per_fu": 0.00, "e_form_mev_per_atom": 745.1, "dos_ef_per_ev_fu": 4.30}

[12]
{"formula": "Zr3Zn4Cu4", "functional": "PBE", "state": "optimized geometry", "lattice": [[5.000, 0.865, 1.453], [0.817, 4.092, 1.255], [3.256, 3.070, 10.498]], "species": ["Zn", "Zn", "Zn", "Zn", "Zr", "Zr", "Zr", "Cu", "Cu", "Cu", "Cu"], "fractional_positions": [[0.421, 0.349, 0.960], [0.579, 0.651, 0.040], [0.105, 0.466, 0.655], [0.895, 0.534, 0.345], [0.000, 0.000, 0.000], [0.656, 0.099, 0.715], [0.344, 0.901, 0.285], [0.807, 0.252, 0.229], [0.264, 0.145, 0.482], [0.193, 0.748, 0.771], [0.736, 0.855, 0.518]], "relative_energy_kj_per_mol_fu": 8, "spacegroup": "P-1, No. 2", "total_energy_ev_per_atom": -4.46, "magmom_total_mub_per_fu": 0.00, "e_form_mev_per_atom": -178.6, "dos_ef_per_ev_fu": 8.16}